## A
Entry from the Open Quantum Materials Database: a geometry-optimized TmSc2 structure (PBE).

Cell: 4.456 4.456 8.033 Å, 90.00 90.00 90.00°
Element x y z (fractional)
Sc 0.500 0.000 0.292
Sc 0.000 0.000 0.000
Sc 0.500 0.500 0.000
Sc 0.000 0.500 0.708
Tm 0.500 0.000 0.692
Tm 0.000 0.500 0.308

Properties
symmetry = P4/nmm, No. 129


## B
Entry from the Open Quantum Materials Database: a geometry-optimized TmSc2 structure (PBE).

Cell: 7.536 7.536 4.602 Å, 90.00 90.00 144.63°
Element x y z (fractional)
Sc 0.914 0.086 0.750
Sc 0.086 0.914 0.250
Sc 0.251 0.749 0.750
Sc 0.749 0.251 0.250
Tm 0.415 0.585 0.250
Tm 0.585 0.415 0.750

Properties
symmetry = Cmcm, No. 63


We find B to be the most stable, with the next structure 0.155 eV/atom higher.


## A
Entry from the Open Quantum Materials Database: a geometry-optimized TmSc2 structure (PBE).

Cell: 3.346 3.346 8.102 Å, 102.24 102.24 60.20°
Element x y z (fractional)
Sc 0.778 0.778 0.342
Sc 0.222 0.222 0.658
Tm 0.000 0.000 0.000

Properties
symmetry = C2/m, No. 12


## B
Entry from the Open Quantum Materials Database: a geometry-optimized TmSc2 structure (PBE).

Cell: 8.164 8.164 8.164 Å, 60.00 60.00 60.00°
Element x y z (fractional)
Sc 0.875 0.375 0.375
Sc 0.375 0.375 0.375
Sc 0.375 0.375 0.875
Sc 0.375 0.875 0.375
Tm 0.500 0.500 0.500
Tm 0.250 0.250 0.250

Properties
symmetry = Fd-3m, No. 227


We find A to be the most stable, with the next structure 2.849 eV/atom higher.